VASP calculation (GGA+U) on a relaxed structure of K2AsWO6.

- Energy: -5.998 eV per atom
- Density of states at the Fermi level: 0.166 states/eV/atom
- Crystal system: tetragonal

Geometry as CIF:
```
data_K2AsWO6
_space_group_name_H-M_alt 'I 4/m m m'
_space_group_IT_number 139
_space_group_name_Hall '-I 4 2'
_cell_length_a 5.6382
_cell_length_b 5.6382
_cell_length_c 7.9581
_cell_angle_alpha 90.00
_cell_angle_beta 90.00
_cell_angle_gamma 90.00
loop_
_atom_site_label
_atom_site_type_symbol
_atom_site_fract_x
_atom_site_fract_y
_atom_site_fract_z
K1 K 0.0000 0.5000 0.2500
As1 As 0.0000 0.0000 0.0000
W1 W 0.0000 0.0000 0.5000
O1 O 0.0000 0.0000 0.2533
O2 O 0.2460 0.2460 0.5000
```